A geometry-optimized Zn2Si2Mo structure, computed with PBE-GGA.

Cell: 3.9237 3.9237 11.9862 Å, 90.00 90.00 120.00°
Fractional coordinates of all 10 atoms:
Zn (0.3333, 0.6667, 0.0690)
Zn (0.3333, 0.6667, 0.4310)
Zn (0.6667, 0.3333, 0.5690)
Zn (0.6667, 0.3333, 0.9310)
Si (0.3333, 0.6667, 0.6477)
Si (0.3333, 0.6667, 0.8523)
Si (0.6667, 0.3333, 0.1477)
Si (0.6667, 0.3333, 0.3523)
Mo (0.0000, 0.0000, 0.2500)
Mo (0.0000, 0.0000, 0.7500)

Summary:
- VASP energy (eV per cell) = -46.87
- mass density (g/cm³) = 5.880